# 1
Compound: MgSi2Br
Source: Alexandria
Functional: PBE
Structure: optimized geometry

Cell and atoms, written as POSCAR:
```
MgSi2Br
1.0
8.692 -0.035 -0.021
8.063 3.247 -0.021
8.063 1.546 2.856
Mg Si Br
1 2 1
direct
0.750 0.750 0.750
0.500 0.500 0.500
0.000 0.000 0.000
0.250 0.250 0.250
```

Output
Space group = R-3m (166)
M_tot = 0.0 Bohr magnetons per cell
E_form (uncorrected) = 492 meV/atom

---

# 2
Compound: Mg2SiBr
Source: Alexandria
Functional: PBE
Structure: optimized geometry

Cell and atoms, written as POSCAR:
```
Mg2SiBr
1.0
-0.818 3.626 0.780
-2.958 0.623 2.300
3.204 1.044 6.579
Si Mg Br
1 2 1
direct
0.750 0.750 0.750
0.033 0.033 0.957
0.467 0.467 0.543
0.250 0.250 0.250
```

Output
Space group = C2/m (12)
M_tot = 0.0 Bohr magnetons per cell
E_form (uncorrected) = -371 meV/atom

---

# 3
Compound: MgSi2Br
Source: Alexandria
Functional: PBE
Structure: optimized geometry

Cell and atoms, written as POSCAR:
```
MgSi2Br
1.0
0.000 3.452 3.452
3.452 0.000 3.452
3.452 3.452 0.000
Mg Si Br
1 2 1
direct
0.000 0.000 0.000
0.250 0.250 0.250
0.750 0.750 0.750
0.500 0.500 0.500
```

Output
Space group = Fm-3m (225)
M_tot = 0.0 Bohr magnetons per cell
E_form (uncorrected) = 676 meV/atom

---

# 4
Compound: MgSi2Br
Source: Alexandria
Functional: PBE
Structure: optimized geometry

Cell and atoms, written as POSCAR:
```
MgSi2Br
1.0
-0.973 3.842 -4.353
-5.800 -0.444 0.905
-3.082 6.843 2.748
Mg Si Br
2 4 2
direct
0.250 0.750 0.500
0.500 0.500 0.000
0.144 0.625 0.250
0.606 0.125 0.250
0.875 0.856 0.750
0.375 0.394 0.750
0.750 0.250 0.500
0.000 0.000 0.000
```

Output
Space group = I-42d (122)
M_tot = 0.0 Bohr magnetons per cell
E_form (uncorrected) = 796 meV/atom

---

Number 1: energy relative to the lowest polymorph listed for this composition 804 meV per atom. Number 2: energy relative to the lowest polymorph listed for this composition 0 meV per atom. Number 3: energy relative to the lowest polymorph listed for this composition 988 meV per atom. Number 4: energy relative to the lowest polymorph listed for this composition 1108 meV per atom.